No. 1
This record from the Alexandria database describes a relaxed structure of TaTlInGe2. The functional is PBEsol.

Properties
* D(E_F): 2.2 states/eV per cell
* E_form: 431 meV/atom

abc: 4.9981 4.9981 5.4158
angles: 90.00 90.00 90.00
Last column: nearest neighbours and their distance in Å.
Space group P4/mmm (No. 123)
One atom of each set of equivalent atoms:
Ta  0.0000  0.0000  0.0000  4 Ge 2.50, 2 Tl 2.71
Tl  0.0000  0.0000  0.5000  2 Ta 2.71
In  0.5000  0.5000  0.5000  4 Tl 3.53, 8 Ge 3.68
Ge  0.0000  0.5000  0.0000  2 Ta 2.50

No. 2
This record from the Alexandria database describes a relaxed structure of Tb2InGe2. The functional is PBEsol.

Properties
* D(E_F): 4.6 states/eV per cell
* E_form: -784 meV/atom

abc: 7.2794 7.2794 4.1611
angles: 90.00 90.00 90.00
Last column: nearest neighbours and their distance in Å.
Space group P4/mbm (No. 127)
One atom of each set of equivalent atoms:
Tb  0.1782  0.3218  0.0000  6 Ge 2.93-3.04
In  0.0000  0.0000  0.5000  4 Ge 2.89
Ge  0.1216  0.6216  0.5000  1 Ge 2.50

No. 3
This record from the Alexandria database describes a relaxed structure of Tb11In6Ge4. The functional is PBEsol.

Properties
* D(E_F): 53.5 states/eV per cell
* E_form: -710 meV/atom

abc: 11.4062 11.4062 16.0509
angles: 90.00 90.00 90.00
Last column: nearest neighbours and their distance in Å.
Space group I4/mmm (No. 139)
One atom of each set of equivalent atoms:
Tb  0.0000  0.0000  0.1660  8 In 3.33-3.37, 1 Ge 3.46, 4 Tb 3.71
Tb  0.0000  0.2498  0.3141  3 Ge 3.03-3.18, 4 In 3.33-3.39
Tb  0.0000  0.3453  0.1005  3 Ge 2.96-2.98, 4 In 3.05-3.30, 1 Tb 3.23
Tb  0.1682  0.1682  0.5000  2 Ge 2.80
In  0.1285  0.1285  0.0000  4 In 2.93-3.02, 1 Tb 3.28
In  0.2066  0.2066  0.1709  2 In 2.90-3.02, 2 Tb 3.05
Ge  0.0000  0.0000  0.3816  8 Tb 3.05-3.31
Ge  0.0000  0.3467  0.5000  6 Tb 2.80-2.96
Ge  0.0000  0.5000  0.2500  8 Tb 2.98-3.03

No. 4
This record from the Alexandria database describes a relaxed structure of In2GeTe. The functional is PBEsol.

Properties
* formation energy (no corrections): -0.103 eV per atom
* D(E_F): 1.1 states/eV per cell

abc: 6.3522 6.3522 12.7556
angles: 90.00 90.00 90.00
Last column: nearest neighbours and their distance in Å.
Space group I-42d (No. 122)
One atom of each set of equivalent atoms:
In  0.2074  0.2500  0.1250  2 Ge 2.61, 2 Te 2.92
Ge  0.0000  0.0000  0.0000  4 In 2.61
Te  0.0000  0.0000  0.5000  4 In 2.92

No. 5
This record from the Alexandria database describes a relaxed structure of InGe2Te. The functional is PBEsol.

Properties
* formation energy (no corrections): 0.242 eV per atom
* D(E_F): 10.9 states/eV per cell

abc: 7.1033 7.1033 7.1033
angles: 90.00 90.00 90.00
Last column: nearest neighbours and their distance in Å.
Space group Fm-3m (No. 225)
One atom of each set of equivalent atoms:
In  0.0000  0.0000  0.0000  8 Ge 3.08
Ge  0.2500  0.2500  0.2500  4 In 3.08, 4 Te 3.08
Te  0.0000  0.0000  0.5000  8 Ge 3.08

No. 6
This record from the Alexandria database describes a relaxed structure of InGeTe2. The functional is PBEsol.

Properties
* formation energy (no corrections): -0.175 eV per atom
* D(E_F): 4.7 states/eV per cell

abc: 4.2670 4.2670 20.8228
angles: 90.00 90.00 120.00
Last column: nearest neighbours and their distance in Å.
Space group R-3m (No. 166, hexagonal axes)
One atom of each set of equivalent atoms:
In  0.0000  0.0000  0.0000  6 Te 3.07
Ge  0.0000  0.0000  0.5000  6 Te 2.96
Te  0.0000  0.0000  0.2454  3 Ge 2.96, 3 In 3.07

No. 7
This record from the Alexandria database describes a relaxed structure of Tl2In2Ge. The functional is PBEsol.

Properties
* D(E_F): 4.8 states/eV per cell
* E_form: 284 meV/atom

abc: 4.0342 4.0342 16.8662
angles: 90.00 90.00 90.00
Last column: nearest neighbours and their distance in Å.
Space group I4/mmm (No. 139)
One atom of each set of equivalent atoms:
Tl  0.0000  0.0000  0.0921  1 Tl 3.11, 4 Ge 3.25, 4 In 3.34
In  0.0000  0.5000  0.2500  4 In 2.85
Ge  0.0000  0.0000  0.5000  8 Tl 3.25

No. 8
This record from the Alexandria database describes a relaxed structure of Y3InGe. The functional is PBEsol.

Properties
* D(E_F): 4.8 states/eV per cell
* E_form: -353 meV/atom

abc: 5.3310 5.3310 5.3310
angles: 90.00 90.00 90.00
Last column: nearest neighbours and their distance in Å.
Space group Pm-3m (No. 221)
One atom of each set of equivalent atoms:
Y  0.0000  0.0000  0.5000  2 Ge 2.67
In  0.5000  0.5000  0.5000  12 Y 3.77
Ge  0.0000  0.0000  0.0000  6 Y 2.67

No. 9
This record from the Alexandria database describes a relaxed structure of Y2InGe2. The functional is PBEsol.

Properties
* D(E_F): 4.8 states/eV per cell
* E_form: -795 meV/atom

abc: 7.2847 7.2847 4.1530
angles: 90.00 90.00 90.00
Last column: nearest neighbours and their distance in Å.
Space group P4/mbm (No. 127)
One atom of each set of equivalent atoms:
Y  0.1783  0.3217  0.0000  6 Ge 2.93-3.04
In  0.0000  0.0000  0.5000  4 Ge 2.90
Ge  0.1216  0.6216  0.5000  1 Ge 2.50

No. 10
This record from the Alexandria database describes a relaxed structure of ZnInGe3. The functional is PBEsol.

Properties
* D(E_F): 2.9 states/eV per cell
* E_form: 1040 meV/atom

abc: 5.1582 5.1582 5.1582
angles: 90.00 90.00 90.00
Last column: nearest neighbours and their distance in Å.
Space group Pm-3m (No. 221)
One atom of each set of equivalent atoms:
Zn  0.0000  0.0000  0.0000  12 Ge 3.65
In  0.5000  0.5000  0.5000  6 Ge 2.58
Ge  0.0000  0.5000  0.5000  2 In 2.58

No. 11
This record from the Alexandria database describes a relaxed structure of Ge3Ir. The functional is PBEsol.

Properties
* D(E_F): 6.9 states/eV per cell
* E_form: 174 meV/atom

abc: 6.3319 6.3319 6.3319
angles: 90.00 90.00 90.00
Last column: nearest neighbours and their distance in Å.
Space group Fm-3m (No. 225)
One atom of each set of equivalent atoms:
Ge  0.0000  0.0000  0.0000  8 Ge 2.74
Ge  0.2500  0.2500  0.2500  4 Ge 2.74, 4 Ir 2.74
Ir  0.0000  0.0000  0.5000  8 Ge 2.74

No. 12
This record from the Alexandria database describes a relaxed structure of Ge4Ir. The functional is PBEsol.

Properties
* D(E_F): 4.2 states/eV per cell
* E_form: -219 meV/atom

abc: 6.1983 6.1983 7.7804
angles: 90.00 90.00 120.00
Last column: nearest neighbours and their distance in Å.
Space group P3_121 (No. 152)
One atom of each set of equivalent atoms:
Ge  0.0000  0.0824  0.1667  2 Ir 2.60, 7 Ge 2.74-2.87
Ge  0.0000  0.6186  0.1667  2 Ir 2.54, 2 Ge 2.56
Ge  0.2207  0.4852  0.9483  2 Ir 2.52-2.53, 2 Ge 2.56-2.75
Ir  0.0000  0.3155  0.6667  8 Ge 2.52-2.60